*w*
Compound: SrTaAs3
Source: Alexandria
Functional: PBE-GGA
Structure: relaxed

The structure in extended XYZ format:
```
5
Lattice="5.282 0.000 0.000 0.000 5.282 0.000 0.000 0.000 5.282" Properties=species:S:1:pos:R:3 pbc="T T T"
Sr 0.000 0.000 0.000
As 0.000 2.641 0.000
As 0.000 0.000 2.641
As 2.641 0.000 0.000
Ta 2.641 2.641 2.641
```

=====

*x*
Compound: SrTaAs3
Source: Alexandria
Functional: PBE-GGA
Structure: relaxed

The structure in extended XYZ format:
```
5
Lattice="5.063 0.000 0.000 0.000 5.063 0.000 0.000 0.000 5.063" Properties=species:S:1:pos:R:3 pbc="T T T"
Sr 2.531 2.531 2.531
As 0.000 2.531 0.000
As 0.000 0.000 2.531
As 2.531 0.000 0.000
Ta 0.000 0.000 0.000
```

=====

The structure with the least stability is *w*.

=====

*w*
Compound: SrTc2As2
Source: Alexandria
Functional: PBE-GGA
Structure: relaxed

The structure in extended XYZ format:
```
5
Lattice="4.238 0.000 0.000 0.000 4.238 0.000 2.119 2.119 5.628" Properties=species:S:1:pos:R:3 pbc="T T T"
Sr 0.000 0.000 0.000
As 2.119 2.119 1.543
As 4.238 4.238 4.086
Tc 4.238 2.119 2.814
Tc 2.119 4.238 2.814
```

=====

*x*
Compound: SrTc2As2
Source: Alexandria
Functional: PBE-GGA
Structure: relaxed

The structure in extended XYZ format:
```
5
Lattice="-0.682 1.235 -3.803 3.523 -1.639 -1.164 -2.848 -5.269 -1.200" Properties=species:S:1:pos:R:3 pbc="T T T"
Sr 0.000 0.000 0.000
Tc -1.765 -2.017 -2.501
Tc 0.337 -3.454 -1.182
As -0.716 -4.154 -3.383
As 0.709 -1.519 -2.783
```

=====

The structure with the least stability is *x*.

=====

*w*
Compound: Sr2TeAs
Source: Alexandria
Functional: PBE-GGA
Structure: relaxed

The structure in extended XYZ format:
```
4
Lattice="-3.169 4.905 -3.090 -2.733 1.744 -5.756 -4.560 -1.802 1.391" Properties=species:S:1:pos:R:3 pbc="T T T"
Sr -0.573 -0.216 0.162
Sr -7.307 3.890 -5.806
As -2.068 1.473 -2.084
Te -5.746 2.124 -3.457
```

=====

*x*
Compound: Sr2TeAs
Source: Alexandria
Functional: PBE-GGA
Structure: relaxed

The structure in extended XYZ format:
```
4
Lattice="-3.747 1.612 3.822 2.752 -3.416 3.465 2.388 3.011 1.071" Properties=species:S:1:pos:R:3 pbc="T T T"
Sr 0.000 0.000 0.000
Sr -0.498 -0.902 3.644
As 2.570 -0.202 2.268
Te -0.679 2.312 2.446
```

=====

The structure with the least stability is *x*.

=====

*w*
Compound: Sr2TiAs
Source: Alexandria
Functional: PBE-GGA
Structure: relaxed

The structure in extended XYZ format:
```
8
Lattice="11.409 0.000 0.000 0.000 11.409 0.000 5.704 5.704 2.481" Properties=species:S:1:pos:R:3 pbc="T T T"
Sr 10.352 2.852 0.620
Sr 12.466 8.556 0.620
Sr 8.556 6.761 1.860
Sr 14.261 4.647 1.860
As 0.000 0.000 0.000
As 11.409 5.704 1.240
Ti 5.704 5.704 0.000
Ti 5.704 11.409 1.240
```

=====

*x*
Compound: Sr2TiAs
Source: Alexandria
Functional: PBE-GGA
Structure: relaxed

The structure in extended XYZ format:
```
4
Lattice="3.668 -0.317 4.106 -1.259 2.000 4.982 -0.871 -3.447 4.215" Properties=species:S:1:pos:R:3 pbc="T T T"
Sr 0.384 -0.441 3.326
Sr 1.153 -1.324 9.977
As 0.769 -0.882 6.652
Ti 0.000 0.000 0.000
```

=====

The structure with the least stability is *x*.

=====

*w*
Compound: SrTi2As
Source: Alexandria
Functional: PBE-GGA
Structure: relaxed

The structure in extended XYZ format:
```
8
Lattice="4.629 0.000 0.000 0.000 4.629 0.000 2.314 2.314 9.585" Properties=species:S:1:pos:R:3 pbc="T T T"
Sr 0.000 0.000 0.000
Sr 4.629 2.314 4.792
As 2.314 2.314 0.000
As 2.314 4.629 4.792
Ti 2.321 1.157 2.396
Ti 2.307 3.472 2.396
Ti 3.472 4.622 7.189
Ti 5.786 4.636 7.189
```

=====

*x*
Compound: SrTi2As
Source: Alexandria
Functional: PBE-GGA
Structure: relaxed

The structure in extended XYZ format:
```
4
Lattice="0.000 3.375 3.375 3.375 0.000 3.375 3.375 3.375 0.000" Properties=species:S:1:pos:R:3 pbc="T T T"
Sr 3.375 3.375 3.375
As 0.000 0.000 0.000
Ti 1.688 1.688 1.688
Ti 5.063 5.063 5.063
```

=====

The structure with the least stability is *x*.

=====

*w*
Compound: SrTi3As
Source: Alexandria
Functional: PBE-GGA
Structure: relaxed

The structure in extended XYZ format:
```
5
Lattice="-4.566 1.143 0.889 -1.355 -4.409 -1.292 0.511 -1.483 4.526" Properties=species:S:1:pos:R:3 pbc="T T T"
Sr 0.000 0.000 0.000
As -2.705 -2.375 2.062
Ti -0.677 -2.205 -0.646
Ti 0.255 -0.742 2.263
Ti -2.283 0.571 0.445
```

=====

*x*
Compound: SrTi3As
Source: Alexandria
Functional: PBE-GGA
Structure: relaxed

The structure in extended XYZ format:
```
5
Lattice="-3.909 -2.300 1.899 2.095 0.111 4.447 -2.122 4.344 0.892" Properties=species:S:1:pos:R:3 pbc="T T T"
Sr -1.968 1.078 3.619
As 0.000 0.000 0.000
Ti 1.048 0.055 2.223
Ti -1.061 2.172 0.446
Ti -1.954 -1.150 0.950
```

=====

The structure with the least stability is *w*.